[1]
Here is an optimized crystal structure of LaHfBi2Se from the Alexandria database. Energies are from PBE.

Unit cell a=5.7640 b=5.7640 c=4.8918 alpha=90.00 beta=90.00 gamma=90.00
Closest atoms and distances in Å follow each position.
Space group P4/mmm (No. 123)
Asymmetric unit:
La: 0.0000 0.0000 0.0000 (multiplicity 1)  8 Bi 3.78, 4 Hf 4.08
Hf: 0.5000 0.5000 0.0000 (multiplicity 1)  2 Se 2.45
Bi: 0.0000 0.5000 0.5000 (multiplicity 2)  2 Se 2.88
Se: 0.5000 0.5000 0.5000 (multiplicity 1)  2 Hf 2.45

- distance to the lowest polymorph of the same formula (meV per atom) = 0.0
- density (g cm⁻³) = 8.32
- ΔE_f (raw) (kJ/mol of atoms) = -1.4
- crystal system = tetragonal


[2]
Here is an optimized crystal structure of NaLuAgPb from the Alexandria database. Energies are from PBE.

Unit cell a=7.2988 b=7.2988 c=7.2988 alpha=90.00 beta=90.00 gamma=90.00
Closest atoms and distances in Å follow each position.
Space group F-43m (No. 216)
Asymmetric unit:
Na: 0.0000 0.0000 0.0000 (multiplicity 4)  4 Pb 3.16, 4 Ag 3.16
Lu: 0.0000 0.0000 0.5000 (multiplicity 4)  4 Pb 3.16, 4 Ag 3.16
Ag: 0.2500 0.2500 0.2500 (multiplicity 4)  4 Na 3.16, 4 Lu 3.16
Pb: 0.2500 0.2500 0.7500 (multiplicity 4)  4 Na 3.16, 4 Lu 3.16

- formation enthalpy at 0 K (eV per atom) = -0.197
- density (g cm⁻³) = 8.76
- crystal system = cubic


[3]
Here is an optimized crystal structure of TmPaMn2 from the Alexandria database. Energies are from PBE.

Unit cell a=4.7473 b=4.7473 c=3.3525 alpha=90.00 beta=90.00 gamma=90.00
Closest atoms and distances in Å follow each position.
Space group P4/mmm (No. 123)
Asymmetric unit:
Tm: 0.0000 0.0000 0.0000 (multiplicity 1)  8 Mn 2.91
Pa: 0.5000 0.5000 0.0000 (multiplicity 1)  8 Mn 2.91
Mn: 0.0000 0.5000 0.5000 (multiplicity 2)  4 Pa 2.91, 4 Tm 2.91

- distance to the lowest polymorph of the same formula (meV per atom) = 120.4
- formation enthalpy at 0 K (eV per atom) = 0.157
- density (g cm⁻³) = 11.21
- crystal system = tetragonal


Question: Which of these has the highest density?
Answer: TmPaMn2